Compound: Ca3Ac8Co2
Source: the Alexandria database
Functional: PBE
Structure: relaxed

Structure (CIF):
```
data_Ca3Ac8Co2
_cell_length_a 19.677
_cell_length_b 8.375
_cell_length_c 6.793
_cell_angle_alpha 90.00
_cell_angle_beta 95.30
_cell_angle_gamma 90.00
_symmetry_space_group_name_H-M 'C 1 2/m 1'
_symmetry_Int_Tables_number 12
loop_
_symmetry_equiv_pos_as_xyz
'x,y,z'
'-x,-y,-z'
'-x,y,-z'
'x,-y,z'
'x+1/2,y+1/2,z'
'-x+1/2,-y+1/2,-z'
'-x+1/2,y+1/2,-z'
'x+1/2,-y+1/2,z'
loop_
_atom_site_label
_atom_site_fract_x
_atom_site_fract_y
_atom_site_fract_z
Ca1 0.000 0.000 0.000
Ca2 0.000 0.255 0.500
Ac1 0.162 0.000 0.635
Ac2 0.164 0.254 0.134
Ac3 0.173 0.500 0.639
Co1 0.249 0.000 0.998
```

Properties
Energy relative to the elements = 0.09 eV per atom
Final energy = -0.1469 hartree per atom
Magnetization = 0.0 μB/f.u.